This record from Alexandria via LeMat-Bulk describes a crystal of HfP2SI relaxed with PBEsol. The functional is meta-GGA SCAN.

## Properties
For the total energy, the calculation gives -0.9041 hartree per atom. As for the volume: 116.6 Å³ per cell. For the energy relative to the elements, uncorrected, the calculation gives 1.37 eV per atom.

Cell lengths 4.9497, 4.9497, 4.7602 Å; angles 90.00, 90.00, 90.00 degrees
With the nearest neighbours (Å) after each atom.
Fractional positions:
Hf  0.0000  0.0000  0.0000  8 P 3.43, 4 S 3.50
P  0.0000  0.5000  0.5000  2 I 2.47
P  0.5000  0.0000  0.5000  2 I 2.47
S  0.5000  0.5000  0.0000  2 I 2.38
I  0.5000  0.5000  0.5000  2 S 2.38, 4 P 2.47



This record from Alexandria via LeMat-Bulk describes a crystal of RbFeF4 relaxed with PBEsol. The functional is meta-GGA SCAN.

## Properties
For the total energy, the calculation gives -0.4258 hartree per atom. As for the volume: 363.8 Å³ per cell. For the energy relative to the elements, uncorrected, the calculation gives -2.75 eV per atom.

Cell lengths 7.6933, 7.6978, 6.1432 Å; angles 90.00, 90.00, 90.00 degrees
With the nearest neighbours (Å) after each atom.
Fractional positions:
Rb  0.2500  0.2500  0.0007  12 F 3.05-3.18
Rb  0.2500  0.7500  0.0599  8 F 2.74-2.96
Rb  0.7500  0.2500  0.9401  8 F 2.74-2.96
Rb  0.7500  0.7500  0.9993  12 F 3.05-3.18
Fe  0.0000  0.0000  0.5000  6 F 1.86-1.99
Fe  0.0000  0.5000  0.5000  6 F 1.86-1.99
Fe  0.5000  0.0000  0.5000  6 F 1.86-1.99
Fe  0.5000  0.5000  0.5000  6 F 1.86-1.99
F  0.0066  0.2500  0.5828  2 Fe 1.99
F  0.0494  0.5484  0.7906  1 Fe 1.86
F  0.0494  0.9516  0.7906  1 Fe 1.86
F  0.2500  0.0096  0.4161  2 Fe 1.99
F  0.2500  0.4904  0.4161  2 Fe 1.99
F  0.4506  0.5484  0.7906  1 Fe 1.86
F  0.4506  0.9516  0.7906  1 Fe 1.86
F  0.4934  0.2500  0.5828  2 Fe 1.99
F  0.5066  0.7500  0.4172  2 Fe 1.99
F  0.5494  0.0484  0.2094  1 Fe 1.86
F  0.5494  0.4516  0.2094  1 Fe 1.86
F  0.7500  0.5096  0.5839  2 Fe 1.99
F  0.7500  0.9904  0.5839  2 Fe 1.99
F  0.9506  0.0484  0.2094  1 Fe 1.86
F  0.9506  0.4516  0.2094  1 Fe 1.86
F  0.9934  0.7500  0.4172  2 Fe 1.99



This record from Alexandria via LeMat-Bulk describes a crystal of Ti3BeI relaxed with PBEsol. The functional is meta-GGA SCAN.

## Properties
For the total energy, the calculation gives -0.6062 hartree per atom. As for the volume: 115.9 Å³ per cell. For the energy relative to the elements, uncorrected, the calculation gives 1.34 eV per atom.

Cell lengths 4.8760, 4.8760, 4.8760 Å; angles 90.00, 90.00, 90.00 degrees
With the nearest neighbours (Å) after each atom.
Fractional positions:
Ti  0.0000  0.0000  0.5000  2 I 2.44
Ti  0.0000  0.5000  0.0000  2 I 2.44
Ti  0.5000  0.0000  0.0000  2 I 2.44
Be  0.5000  0.5000  0.5000  12 Ti 3.45
I  0.0000  0.0000  0.0000  6 Ti 2.44